The following is a DFT calculation (PBE-GGA) of Pu3Ge2Au4 after structural relaxation.

Results
As for the spin magnetization: 1.84 μB per atom. The theoretical density comes out at 14.837 g/cm3. For the formation energy, the calculation gives -0.473 eV/atom.

CIF file:
```
data_Pu3Ge2Au4
_chemical_formula_sum 'Pu3 Ge2 Au4'
_space_group_name_H-M_alt 'P 1'
_space_group_IT_number 1
_space_group_name_Hall 'P 1'
_cell_length_a 4.8290
_cell_length_b 5.7399
_cell_length_c 8.9348
_cell_angle_alpha 120.45
_cell_angle_beta 90.00
_cell_angle_gamma 114.88
loop_
_atom_site_label
_atom_site_type_symbol
_atom_site_fract_x
_atom_site_fract_y
_atom_site_fract_z
_atom_site_occupancy
Pu1 Pu 0.6667 0.3333 0.6660 1
Pu2 Pu 0.0000 0.0000 0.0000 1
Pu3 Pu 0.3333 0.6667 0.3340 1
Ge1 Ge 0.6096 0.2193 0.2784 1
Ge2 Ge 0.3904 0.7807 0.7216 1
Au1 Au 0.7143 0.4286 0.0526 1
Au2 Au 0.2857 0.5714 0.9474 1
Au3 Au 0.9390 0.8781 0.6082 1
Au4 Au 0.0610 0.1219 0.3918 1
```

=====

The following is a DFT calculation (PBE-GGA) of PuGe2Au after structural relaxation.

Results
As for the spin magnetization: 1.35 μB per atom. The theoretical density comes out at 11.917 g/cm3. For the formation energy, the calculation gives -0.332 eV/atom.

CIF file:
```
data_PuGe2Au
_chemical_formula_sum 'Pu4 Ge8 Au4'
_space_group_name_H-M_alt 'P 1'
_space_group_IT_number 1
_space_group_name_Hall 'P 1'
_cell_length_a 6.2814
_cell_length_b 6.4466
_cell_length_c 8.0694
_cell_angle_alpha 90.00
_cell_angle_beta 90.00
_cell_angle_gamma 90.00
loop_
_atom_site_label
_atom_site_type_symbol
_atom_site_fract_x
_atom_site_fract_y
_atom_site_fract_z
_atom_site_occupancy
Pu1 Pu 0.2499 0.2500 0.0000 1
Pu2 Pu 0.7499 0.7500 0.5000 1
Pu3 Pu 0.7501 0.7500 0.0000 1
Pu4 Pu 0.2501 0.2500 0.5000 1
Ge1 Ge 0.9612 0.0291 0.2501 1
Ge2 Ge 0.4612 0.9709 0.2499 1
Ge3 Ge 0.0388 0.5291 0.7499 1
Ge4 Ge 0.5388 0.4709 0.7501 1
Ge5 Ge 0.0388 0.9709 0.7499 1
Ge6 Ge 0.5388 0.0291 0.7501 1
Ge7 Ge 0.9612 0.4709 0.2501 1
Ge8 Ge 0.4612 0.5291 0.2499 1
Au1 Au 0.7500 0.2500 0.5001 1
Au2 Au 0.2500 0.7500 0.9999 1
Au3 Au 0.2500 0.7500 0.4999 1
Au4 Au 0.7500 0.2500 0.0001 1
```

=====

The following is a DFT calculation (PBE-GGA) of Pu2Ge3Au2 after structural relaxation.

Results
As for the spin magnetization: 1.57 μB per atom. The relative energy among the computed polymorphs is 0 meV/atom. The theoretical density comes out at 12.250 g/cm3. For the formation energy, the calculation gives -0.375 eV/atom.

CIF file:
```
data_Pu2Ge3Au2
_chemical_formula_sum 'Pu4 Ge6 Au4'
_space_group_name_H-M_alt 'P 1'
_space_group_IT_number 1
_space_group_name_Hall 'P 1'
_cell_length_a 4.3755
_cell_length_b 7.1648
_cell_length_c 9.7600
_cell_angle_alpha 90.00
_cell_angle_beta 102.95
_cell_angle_gamma 90.00
loop_
_atom_site_label
_atom_site_type_symbol
_atom_site_fract_x
_atom_site_fract_y
_atom_site_fract_z
_atom_site_occupancy
Pu1 Pu 0.1528 0.2500 0.3056 1
Pu2 Pu 0.8472 0.7500 0.6944 1
Pu3 Pu 0.9493 0.2500 0.8986 1
Pu4 Pu 0.0507 0.7500 0.1014 1
Ge1 Ge 0.2253 0.7500 0.4506 1
Ge2 Ge 0.7747 0.2500 0.5494 1
Ge3 Ge 0.5587 0.4274 0.1173 1
Ge4 Ge 0.4413 0.5726 0.8827 1
Ge5 Ge 0.4413 0.9274 0.8827 1
Ge6 Ge 0.5587 0.0726 0.1173 1
Au1 Au 0.6859 0.9469 0.3718 1
Au2 Au 0.3141 0.0531 0.6282 1
Au3 Au 0.3141 0.4469 0.6282 1
Au4 Au 0.6859 0.5531 0.3718 1
```

=====

The following is a DFT calculation (PBE-GGA) of Pu4Ge3Au after structural relaxation.

Results
As for the spin magnetization: 0.02 μB per atom. The relative energy among the computed polymorphs is 50 meV/atom. The theoretical density comes out at 14.238 g/cm3. For the formation energy, the calculation gives -0.381 eV/atom.

CIF file:
```
data_Pu4Ge3Au
_chemical_formula_sum 'Pu4 Ge3 Au1'
_space_group_name_H-M_alt 'P 1'
_space_group_IT_number 1
_space_group_name_Hall 'P 1'
_cell_length_a 4.0031
_cell_length_b 4.2940
_cell_length_c 9.4367
_cell_angle_alpha 90.00
_cell_angle_beta 90.00
_cell_angle_gamma 90.00
loop_
_atom_site_label
_atom_site_type_symbol
_atom_site_fract_x
_atom_site_fract_y
_atom_site_fract_z
_atom_site_occupancy
Pu1 Pu 0.5000 0.5000 0.5926 1
Pu2 Pu 0.0000 0.5000 0.4181 1
Pu3 Pu 0.0000 0.0000 0.0850 1
Pu4 Pu 0.5000 0.0000 0.8991 1
Ge1 Ge 0.0000 0.5000 0.8541 1
Ge2 Ge 0.0000 0.0000 0.6490 1
Ge3 Ge 0.5000 0.0000 0.3477 1
Au1 Au 0.5000 0.5000 0.1544 1
```

=====

The following is a DFT calculation (PBE-GGA) of PuGe2Au3 after structural relaxation.

Results
As for the spin magnetization: 0.94 μB per atom. The theoretical density comes out at 12.766 g/cm3. For the formation energy, the calculation gives -0.084 eV/atom.

CIF file:
```
data_PuGe2Au3
_chemical_formula_sum 'Pu2 Ge4 Au6'
_space_group_name_H-M_alt 'P 1'
_space_group_IT_number 1
_space_group_name_Hall 'P 1'
_cell_length_a 3.0373
_cell_length_b 5.4625
_cell_length_c 15.3692
_cell_angle_alpha 90.00
_cell_angle_beta 90.00
_cell_angle_gamma 90.00
loop_
_atom_site_label
_atom_site_type_symbol
_atom_site_fract_x
_atom_site_fract_y
_atom_site_fract_z
_atom_site_occupancy
Pu1 Pu 0.7475 0.5000 0.5000 1
Pu2 Pu 0.2525 0.0000 0.0000 1
Ge1 Ge 0.2519 0.0000 0.6694 1
Ge2 Ge 0.2519 0.0000 0.3306 1
Ge3 Ge 0.7481 0.5000 0.1694 1
Ge4 Ge 0.7481 0.5000 0.8306 1
Au1 Au 0.2476 0.5000 0.6775 1
Au2 Au 0.2476 0.0000 0.5000 1
Au3 Au 0.2476 0.5000 0.3225 1
Au4 Au 0.7524 0.0000 0.1775 1
Au5 Au 0.7524 0.5000 0.0000 1
Au6 Au 0.7524 0.0000 0.8225 1
```

=====

The following is a DFT calculation (PBE-GGA) of Pu3Ge4Au4 after structural relaxation.

Results
As for the spin magnetization: 1.54 μB per atom. The theoretical density comes out at 12.698 g/cm3. For the formation energy, the calculation gives -0.326 eV/atom.

CIF file:
```
data_Pu3Ge4Au4
_chemical_formula_sum 'Pu3 Ge4 Au4'
_space_group_name_H-M_alt 'P 1'
_space_group_IT_number 1
_space_group_name_Hall 'P 1'
_cell_length_a 4.3241
_cell_length_b 7.0183
_cell_length_c 8.8232
_cell_angle_alpha 113.44
_cell_angle_beta 104.18
_cell_angle_gamma 90.00
loop_
_atom_site_label
_atom_site_type_symbol
_atom_site_fract_x
_atom_site_fract_y
_atom_site_fract_z
_atom_site_occupancy
Pu1 Pu 0.1362 0.1362 0.2724 1
Pu2 Pu 0.8638 0.8638 0.7276 1
Pu3 Pu 0.0000 0.5000 0.0000 1
Ge1 Ge 0.3370 0.1291 0.6741 1
Ge2 Ge 0.6630 0.4550 0.3259 1
Ge3 Ge 0.6630 0.8709 0.3259 1
Ge4 Ge 0.3370 0.5450 0.6741 1
Au1 Au 0.2012 0.7012 0.4023 1
Au2 Au 0.7988 0.2988 0.5977 1
Au3 Au 0.5000 0.8037 0.0000 1
Au4 Au 0.5000 0.1963 0.0000 1
```

=====

The following is a DFT calculation (PBE-GGA) of PuGe2Au2 after structural relaxation.

Results
As for the spin magnetization: 1.09 μB per atom. The theoretical density comes out at 12.414 g/cm3. For the formation energy, the calculation gives -0.297 eV/atom.

CIF file:
```
data_PuGe2Au2
_chemical_formula_sum 'Pu2 Ge4 Au4'
_space_group_name_H-M_alt 'P 1'
_space_group_IT_number 1
_space_group_name_Hall 'P 1'
_cell_length_a 4.4107
_cell_length_b 4.4107
_cell_length_c 10.7699
_cell_angle_alpha 90.00
_cell_angle_beta 90.00
_cell_angle_gamma 90.00
loop_
_atom_site_label
_atom_site_type_symbol
_atom_site_fract_x
_atom_site_fract_y
_atom_site_fract_z
_atom_site_occupancy
Pu1 Pu 0.5000 0.0000 0.2440 1
Pu2 Pu 0.0000 0.5000 0.7560 1
Ge1 Ge 0.5000 0.5000 0.5000 1
Ge2 Ge 0.0000 0.0000 0.5000 1
Ge3 Ge 0.0000 0.5000 0.1363 1
Ge4 Ge 0.5000 0.0000 0.8637 1
Au1 Au 0.0000 0.5000 0.3669 1
Au2 Au 0.5000 0.0000 0.6331 1
Au3 Au 0.5000 0.5000 0.0000 1
Au4 Au 0.0000 0.0000 0.0000 1
```

=====

The following is a DFT calculation (PBE-GGA) of Pu4Ge12Au after structural relaxation.

Results
As for the spin magnetization: 1.31 μB per atom. The theoretical density comes out at 10.066 g/cm3. For the formation energy, the calculation gives -0.278 eV/atom.

CIF file:
```
data_Pu4Ge12Au
_chemical_formula_sum 'Pu4 Ge12 Au1'
_space_group_name_H-M_alt 'P 1'
_space_group_IT_number 1
_space_group_name_Hall 'P 1'
_cell_length_a 7.5952
_cell_length_b 7.5952
_cell_length_c 7.5952
_cell_angle_alpha 109.47
_cell_angle_beta 109.47
_cell_angle_gamma 109.47
loop_
_atom_site_label
_atom_site_type_symbol
_atom_site_fract_x
_atom_site_fract_y
_atom_site_fract_z
_atom_site_occupancy
Pu1 Pu 0.0000 0.0000 0.5000 1
Pu2 Pu 0.5000 0.0000 0.0000 1
Pu3 Pu 0.5000 0.5000 0.5000 1
Pu4 Pu 0.0000 0.5000 0.0000 1
Ge1 Ge 0.0000 0.3046 0.3046 1
Ge2 Ge 0.0000 0.6954 0.6954 1
Ge3 Ge 0.6954 0.6954 0.0000 1
Ge4 Ge 0.3046 0.3046 0.0000 1
Ge5 Ge 0.3046 0.0000 0.3046 1
Ge6 Ge 0.6954 0.0000 0.6954 1
Ge7 Ge 0.5000 0.2500 0.7500 1
Ge8 Ge 0.5000 0.7500 0.2500 1
Ge9 Ge 0.7500 0.2500 0.5000 1
Ge10 Ge 0.2500 0.7500 0.5000 1
Ge11 Ge 0.7500 0.5000 0.2500 1
Ge12 Ge 0.2500 0.5000 0.7500 1
Au1 Au 0.0000 0.0000 0.0000 1
```

=====

The following is a DFT calculation (PBE-GGA) of Pu2GeAu after structural relaxation.

Results
As for the spin magnetization: 2.74 μB per atom. The theoretical density comes out at 13.996 g/cm3. For the formation energy, the calculation gives -0.420 eV/atom.

CIF file:
```
data_Pu2GeAu
_chemical_formula_sum 'Pu2 Ge1 Au1'
_space_group_name_H-M_alt 'P 1'
_space_group_IT_number 1
_space_group_name_Hall 'P 1'
_cell_length_a 3.8782
_cell_length_b 3.8782
_cell_length_c 5.9763
_cell_angle_alpha 90.00
_cell_angle_beta 90.00
_cell_angle_gamma 90.00
loop_
_atom_site_label
_atom_site_type_symbol
_atom_site_fract_x
_atom_site_fract_y
_atom_site_fract_z
_atom_site_occupancy
Ge1 Ge 0.5000 0.5000 0.0000 1
Au1 Au 0.5000 0.5000 0.5000 1
Pu1 Pu 0.0000 0.0000 0.7627 1
Pu2 Pu 0.0000 0.0000 0.2373 1
```

=====

The following is a DFT calculation (PBE-GGA) of Pu3Ge3Au2 after structural relaxation.

Results
As for the spin magnetization: 2.07 μB per atom. The theoretical density comes out at 12.719 g/cm3. For the formation energy, the calculation gives -0.462 eV/atom.

CIF file:
```
data_Pu3Ge3Au2
_chemical_formula_sum 'Pu6 Ge6 Au4'
_space_group_name_H-M_alt 'P 1'
_space_group_IT_number 1
_space_group_name_Hall 'P 1'
_cell_length_a 4.4824
_cell_length_b 5.8264
_cell_length_c 14.5563
_cell_angle_alpha 90.00
_cell_angle_beta 90.00
_cell_angle_gamma 112.62
loop_
_atom_site_label
_atom_site_type_symbol
_atom_site_fract_x
_atom_site_fract_y
_atom_site_fract_z
_atom_site_occupancy
Pu1 Pu 0.9184 0.8367 0.3867 1
Pu2 Pu 0.0816 0.1633 0.8867 1
Pu3 Pu 0.9184 0.8367 0.1133 1
Pu4 Pu 0.0816 0.1633 0.6133 1
Pu5 Pu 0.6450 0.2900 0.2500 1
Pu6 Pu 0.3550 0.7100 0.7500 1
Ge1 Ge 0.6061 0.2121 0.4592 1
Ge2 Ge 0.3939 0.7879 0.9592 1
Ge3 Ge 0.6061 0.2121 0.0408 1
Ge4 Ge 0.3939 0.7879 0.5408 1
Ge5 Ge 0.3565 0.7130 0.2500 1
Ge6 Ge 0.6435 0.2870 0.7500 1
Au1 Au 0.7883 0.5766 0.9023 1
Au2 Au 0.2117 0.4234 0.4023 1
Au3 Au 0.7883 0.5766 0.5977 1
Au4 Au 0.2117 0.4234 0.0977 1
```